Density functional theory data (PBE) for an optimized crystal structure of YPuAgS4.

Structure (POSCAR):
```
YPuAgS4
1.0
-3.949 4.030 5.596
3.949 -4.030 5.596
3.949 4.030 -5.596
Y Pu Ag S
2 2 2 8
Direct
0.500 0.000 0.000 Y
0.500 0.500 0.500 Y
0.000 0.000 0.000 Pu
0.500 0.000 0.500 Pu
0.120 0.370 0.750 Ag
0.880 0.630 0.250 Ag
0.254 0.233 0.479 S
0.254 0.239 0.015 S
0.254 0.776 0.021 S
0.276 0.761 0.515 S
0.724 0.239 0.485 S
0.746 0.224 0.979 S
0.746 0.761 0.985 S
0.746 0.767 0.521 S
```

## Properties
The value obtained for the total magnetization is 0.571 μB/atom. Its symmetry is No. 74. The formation energy from raw total energies is -1.347 eV per atom.